Record 1
Computed, not measured: a geometry-optimized La6Ir2CI2 structure at the PBE level of DFT.

## Properties
Spin magnetization in μB per atom: 0.04
DOS at the Fermi energy in states/eV/cell: 20.0
Uncorrected formation energy in eV per formula unit: -8.27

a b c (Å): 7.2441 12.4025 8.5422
angles (deg): 90.00 107.17 90.00
With the nearest neighbours (Å) after each atom.
Space group C2/m (No. 12)
Asymmetric unit:
La: 0.2191 0.1565 0.1805 x8  1 C 2.69, 2 Ir 2.85-2.90
La: 0.2472 0.5000 0.1754 x4  1 C 2.69, 2 Ir 2.88
Ir: 0.0000 0.3307 0.0000 x4  6 La 2.85-2.90
C: 0.0000 0.0000 0.0000 x2  6 La 2.69
I: 0.0000 0.1693 0.5000 x4  6 La 3.53-3.60

---

Record 2
Computed, not measured: a geometry-optimized La4IrCI2 structure at the PBE level of DFT.

## Properties
Spin magnetization in μB per atom: 0.00
DOS at the Fermi energy in states/eV/cell: 7.0
Uncorrected formation energy in eV per formula unit: -6.72

a b c (Å): 7.2056 4.1356 8.3985
angles (deg): 90.00 106.03 90.00
With the nearest neighbours (Å) after each atom.
Space group P2/m (No. 10)
Asymmetric unit:
La: 0.2129 0.0000 0.1742 x2  2 C 2.74, 1 Ir 2.84
La: 0.2493 0.5000 0.8187 x2  1 C 2.66, 2 Ir 2.89
Ir: 0.5000 0.0000 0.0000 x1  6 La 2.84-2.89
C: 0.0000 0.5000 0.0000 x1  6 La 2.66-2.74
I: 0.0000 0.0000 0.5000 x1  6 La 3.47-3.49
I: 0.5000 0.5000 0.5000 x1  6 La 3.59-3.62

---

Record 3
Computed, not measured: a geometry-optimized La8Ir3CI4 structure at the PBE level of DFT.

## Properties
Spin magnetization in μB per atom: 0.00
DOS at the Fermi energy in states/eV/cell: 20.6
Uncorrected formation energy in eV per formula unit: -15.43

a b c (Å): 14.5817 8.4007 9.5427
angles (deg): 90.00 120.65 90.00
With the nearest neighbours (Å) after each atom.
Space group C2/m (No. 12)
Asymmetric unit:
La: 0.0200 0.2384 0.3225 x8  1 C 2.73, 2 Ir 2.88-2.89
La: 0.2189 0.0000 0.6775 x4  1 C 2.75, 2 Ir 2.88
La: 0.2301 0.5000 0.6894 x4  3 Ir 2.88-2.89
Ir: 0.0000 0.5000 0.5000 x2  6 La 2.88-2.89
Ir: 0.2500 0.2500 0.5000 x4  6 La 2.88-2.89
C: 0.0000 0.0000 0.5000 x2  6 La 2.73-2.75
I: 0.0000 0.0000 0.0000 x2  6 La 3.52-3.56
I: 0.0000 0.5000 0.0000 x2  6 La 3.66-3.67
I: 0.2500 0.2500 0.0000 x4  6 La 3.52-3.56

---

What did the first record say?
Computed, not measured: a geometry-optimized La6Ir2CI2 structure at the PBE level of DFT.

## Properties
Spin magnetization in μB per atom: 0.04
DOS at the Fermi energy in states/eV/cell: 20.0
Uncorrected formation energy in eV per formula unit: -8.27

a b c (Å): 7.2441 12.4025 8.5422
angles (deg): 90.00 107.17 90.00
With the nearest neighbours (Å) after each atom.
Space group C2/m (No. 12)
Asymmetric unit:
La: 0.2191 0.1565 0.1805 x8  1 C 2.69, 2 Ir 2.85-2.90
La: 0.2472 0.5000 0.1754 x4  1 C 2.69, 2 Ir 2.88
Ir: 0.0000 0.3307 0.0000 x4  6 La 2.85-2.90
C: 0.0000 0.0000 0.0000 x2  6 La 2.69
I: 0.0000 0.1693 0.5000 x4  6 La 3.53-3.60

---

spin magnetization of number 2 (La4IrCI2)? 0.00 μB per atom